[1]
AcSm2Te3 | PBE-GGA | optimized geometry

As for the energy above the most stable polymorph in this dataset: 186.7 meV per atom.

It has space group P-4m2 (No. 115), with a = 4.4631 Å, b = 4.4631 Å, c = 10.2909 Å, α = 90.00°, β = 90.00° and γ = 90.00°. Symmetry generates all atoms from Ac at (0.0000, 0.0000, 0.0000), Sm at (0.0000, 0.5000, 0.6180), Te at (0.0000, 0.5000, 0.3146) and Te at (0.5000, 0.5000, 0.0000).

***

[2]
Pm2Fe2C3 | PBE-GGA | optimized geometry

As for the energy above the most stable polymorph in this dataset: 156.1 meV per atom. The formation energy comes out at -0.2 eV per formula unit.

It has space group R-3m (No. 166, hexagonal axes), with a = 5.5336 Å, b = 5.5336 Å, c = 12.7400 Å, α = 90.00°, β = 90.00° and γ = 120.00°. Symmetry generates all atoms from Pm at (0.0000, 0.0000, 0.0000), Pm at (0.0000, 0.0000, 0.5000), Fe at (0.0000, 0.0000, 0.2252) and C at (0.0000, 0.5000, 0.5000).

***

[3]
ErU5As6 | PBE-GGA | optimized geometry

The formation energy comes out at -10.2 eV per formula unit.

It has space group C2/m (No. 12), with a = 7.0932 Å, b = 12.3015 Å, c = 7.0494 Å, α = 90.00°, β = 109.68° and γ = 90.00°. Symmetry generates all atoms from Er at (0.0000, 0.0000, 0.0000), U at (0.0000, 0.1677, 0.5000), U at (0.0000, 0.3341, 0.0000), U at (0.0000, 0.5000, 0.5000), As at (0.2478, 0.0000, 0.7494) and As at (0.2488, 0.1661, 0.2482).

***

[4]
TiCoAs2 | PBE-GGA | optimized geometry

The formation energy comes out at -0.1 eV per formula unit.

It has space group I-42d (No. 122), with a = 5.5301 Å, b = 5.5301 Å, c = 10.9302 Å, α = 90.00°, β = 90.00° and γ = 90.00°. Symmetry generates all atoms from Ti at (0.0000, 0.0000, 0.0000), Co at (0.0000, 0.0000, 0.5000) and As at (0.2125, 0.2500, 0.6250).

***

no.,magnetization (μB per formula unit)
1,0.00
2,0.00
3,12.58
4,0.00